The following is a DFT calculation (PBE) of an optimized crystal structure of LaCd2CoS.

Lattice parameters (Å, degrees): 5.467 4.107 5.467 90.00 90.00 90.00
Fractional positions:
Cd1 0.000 0.000 0.500
Cd2 0.500 0.000 0.000
Co1 0.000 0.500 0.000
S1 0.000 0.000 0.000
La1 0.500 0.500 0.500

Calculated values
- uncorrected energy (eV/atom) = -3.469
- magnetization (μB per atom) = 0.27

---

The following is a DFT calculation (PBE) of an optimized crystal structure of La4CdCoSb.

Lattice parameters (Å, degrees): 7.200 7.143 9.338 90.00 112.67 90.00
Fractional positions:
Co1 0.246 0.750 0.492
Co2 0.754 0.250 0.508
Cd1 0.887 0.750 0.774
Cd2 0.113 0.250 0.226
La1 0.576 0.250 0.152
La2 0.500 0.000 0.500
La3 0.074 0.750 0.149
La4 0.000 0.000 0.500
La5 0.500 0.500 0.500
La6 0.000 0.500 0.500
La7 0.424 0.750 0.848
La8 0.926 0.250 0.851
Sb1 0.611 0.750 0.222
Sb2 0.389 0.250 0.778

Calculated values
- uncorrected energy (eV/atom) = -5.009
- magnetization (μB per atom) = 0.00

---

The following is a DFT calculation (PBE) of an optimized crystal structure of La2CdCoSi.

Lattice parameters (Å, degrees): 5.406 5.406 4.385 90.00 90.00 90.00
Fractional positions:
Si1 0.000 0.000 0.500
Cd1 0.500 0.500 0.500
Co1 0.000 0.000 0.000
La1 0.000 0.500 0.000
La2 0.500 0.000 0.000

Calculated values
- uncorrected energy (eV/atom) = -5.031
- magnetization (μB per atom) = 0.00

---

The following is a DFT calculation (PBE) of an optimized crystal structure of LaSm2CdCo.

Lattice parameters (Å, degrees): 4.905 8.596 6.902 102.79 90.00 90.00
Fractional positions:
Sm1 0.250 0.109 0.412
Sm2 0.750 0.891 0.588
Sm3 0.250 0.148 0.943
Sm4 0.750 0.852 0.057
Cd1 0.750 0.289 0.682
Cd2 0.250 0.711 0.318
Co1 0.250 0.841 0.776
Co2 0.750 0.159 0.224
La1 0.750 0.435 0.237
La2 0.250 0.565 0.763

Calculated values
- formation energy from the elements (kJ/mol of atoms) = -13.9
- magnetization (μB per atom) = 0.00

---

The following is a DFT calculation (PBE) of an optimized crystal structure of LaSmCdCo.

Lattice parameters (Å, degrees): 5.226 5.226 5.226 60.00 60.00 60.00
Fractional positions:
Cd1 0.750 0.750 0.750
Co1 0.250 0.250 0.250
Sm1 0.500 0.500 0.500
La1 0.000 0.000 0.000

Calculated values
- formation energy from the elements (kJ/mol of atoms) = -5.1
- magnetization (μB per atom) = 0.14

---

The following is a DFT calculation (PBE) of an optimized crystal structure of La3SmCdCo.

Lattice parameters (Å, degrees): 9.338 9.338 6.110 108.95 108.95 45.56
Fractional positions:
La1 0.374 0.860 0.120
La2 0.860 0.374 0.120
La3 0.191 0.191 0.709
La4 0.140 0.626 0.880
La5 0.626 0.140 0.880
La6 0.809 0.809 0.291
Sm1 0.258 0.742 0.500
Sm2 0.742 0.258 0.500
Co1 0.969 0.969 0.156
Co2 0.031 0.031 0.844
Cd1 0.689 0.689 0.688
Cd2 0.311 0.311 0.312

Calculated values
- formation energy from the elements (kJ/mol of atoms) = -13.6
- magnetization (μB per atom) = 0.00

---

The following is a DFT calculation (PBE) of an optimized crystal structure of SrLa2CdCo.

Lattice parameters (Å, degrees): 5.229 5.229 5.981 90.00 90.00 90.00
Fractional positions:
La1 0.000 0.500 0.000
La2 0.500 0.000 0.000
Cd1 0.500 0.500 0.500
Sr1 0.000 0.000 0.500
Co1 0.000 0.000 0.000

Calculated values
- formation energy from the elements (kJ/mol of atoms) = -8.4
- energy relative to the lowest polymorph listed for this composition (meV per atom) = 6
- magnetization (μB per atom) = 0.00

---

The following is a DFT calculation (PBE) of an optimized crystal structure of SrLa2CdCo.

Lattice parameters (Å, degrees): 5.351 5.351 5.421 90.00 90.00 90.00
Fractional positions:
La1 0.500 0.000 0.000
La2 0.000 0.500 0.000
Co1 0.000 0.000 0.000
Sr1 0.500 0.500 0.500
Cd1 0.000 0.000 0.500

Calculated values
- formation energy from the elements (kJ/mol of atoms) = -9.0
- energy relative to the lowest polymorph listed for this composition (meV per atom) = 0
- magnetization (μB per atom) = 0.00